A relaxed structure of BiP2AuS, computed with GGA-PBE.

Results
**E_tot**: -22.143 eV/f.u.
**Distance to the lowest polymorph of the same formula**: 0.064 eV/atom
**Spin magnetization**: 0.0 μB/cell

a = 4.8954 Å, b = 4.9957 Å, c = 5.3357 Å
α = 84.38°, β = 82.21°, γ = 72.78°
Positions (direct):
1 Bi 0.0000 0.0000 0.0000
2 P 0.1221 0.3307 0.3556
3 P 0.4023 0.1241 0.6492
4 Au 0.7108 0.6958 0.5058
5 S 0.3949 0.5472 0.1313


A relaxed structure of BiP2AuS, computed with GGA-PBE.

Results
**E_tot**: -21.768 eV/f.u.
**Distance to the lowest polymorph of the same formula**: 0.139 eV/atom
**Spin magnetization**: 0.0 μB/cell

a = 4.2483 Å, b = 4.8714 Å, c = 6.4436 Å
α = 79.46°, β = 79.97°, γ = 87.92°
Positions (direct):
1 Bi 0.0000 0.0000 0.0000
2 P 0.8341 0.4834 0.6375
3 P 0.9585 0.4206 0.3046
4 Au 0.4790 0.6432 0.1784
5 S 0.1941 0.7500 0.6477


A relaxed structure of BiP2AuS, computed with GGA-PBE.

Results
**E_tot**: -22.007 eV/f.u.
**Distance to the lowest polymorph of the same formula**: 0.091 eV/atom
**Spin magnetization**: 0.0 μB/cell

a = 3.9998 Å, b = 5.6544 Å, c = 6.8027 Å
α = 113.97°, β = 95.00°, γ = 101.52°
Positions (direct):
1 Bi 0.0000 0.0000 0.0000
2 P 0.6208 0.3634 0.0946
3 P 0.7589 0.4132 0.4334
4 Au 0.0072 0.0753 0.4502
5 S 0.1928 0.7647 0.5659


A relaxed structure of BiP2AuS, computed with GGA-PBE.

Results
**E_tot**: -22.319 eV/f.u.
**Distance to the lowest polymorph of the same formula**: 0.029 eV/atom
**Spin magnetization**: 0.0 μB/cell

a = 7.2313 Å, b = 7.2313 Å, c = 4.3350 Å
α = 97.84°, β = 97.84°, γ = 30.67°
Positions (direct):
1 Bi 0.0000 0.0000 0.0000
2 P 0.6943 0.6943 0.2502
3 P 0.7952 0.7952 0.9162
4 Au 0.2473 0.2473 0.5844
5 S 0.4747 0.4747 0.5537


A relaxed structure of BiP2AuS, computed with GGA-PBE.

Results
**E_tot**: -22.336 eV/f.u.
**Distance to the lowest polymorph of the same formula**: 0.026 eV/atom
**Spin magnetization**: 0.0 μB/cell

a = 5.7848 Å, b = 5.7848 Å, c = 6.0952 Å
α = 94.36°, β = 94.36°, γ = 33.98°
Positions (direct):
1 Bi 0.0000 0.0000 0.0000
2 P 0.2266 0.2266 0.5912
3 P 0.8028 0.8028 0.4084
4 Au 0.0157 0.0157 0.4914
5 S 0.7574 0.7574 0.0685


A relaxed structure of BiP2AuS, computed with GGA-PBE.

Results
**E_tot**: -22.162 eV/f.u.
**Distance to the lowest polymorph of the same formula**: 0.060 eV/atom
**Spin magnetization**: 0.0 μB/cell

a = 5.9499 Å, b = 3.5175 Å, c = 6.7095 Å
α = 90.00°, β = 96.81°, γ = 90.00°
Positions (direct):
1 Bi 0.0000 0.0000 0.0000
2 P 0.1257 0.0000 0.3917
3 P 0.8895 0.5000 0.4374
4 Au 0.6032 0.5000 0.1651
5 S 0.2981 0.5000 0.8974


A relaxed structure of BiPAu2Se, computed with GGA-PBE.

Results
**E_tot**: -16.221 eV/f.u.
**Spin magnetization**: 0.0 μB/cell

a = 4.9188 Å, b = 4.9188 Å, c = 5.1108 Å
α = 90.00°, β = 90.00°, γ = 90.00°
Positions (direct):
1 Bi 0.0000 0.0000 0.0000
2 P 0.5000 0.5000 0.0000
3 Au 0.0000 0.5000 0.5000
4 Au 0.5000 0.0000 0.5000
5 Se 0.5000 0.5000 0.5000


A relaxed structure of PaBiAu2, computed with GGA-PBE.

Results
**E_tot**: -21.066 eV/f.u.
**Distance to the lowest polymorph of the same formula**: 0.000 eV/atom
**Spin magnetization**: 0.0 μB/cell

a = 5.0945 Å, b = 5.0945 Å, c = 5.0945 Å
α = 60.00°, β = 60.00°, γ = 60.00°
Positions (direct):
1 Pa 0.0000 0.0000 0.0000
2 Bi 0.5000 0.5000 0.5000
3 Au 0.2500 0.2500 0.2500
4 Au 0.7500 0.7500 0.7500


A relaxed structure of Pa2BiAu, computed with GGA-PBE.

Results
**E_tot**: -26.579 eV/f.u.
**Distance to the lowest polymorph of the same formula**: 0.000 eV/atom
**Spin magnetization**: 0.1 μB/cell

a = 3.4373 Å, b = 3.4373 Å, c = 8.5058 Å
α = 90.00°, β = 90.00°, γ = 90.00°
Positions (direct):
1 Pa 0.0000 0.0000 0.2311
2 Pa 0.0000 0.0000 0.7689
3 Bi 0.5000 0.5000 0.5000
4 Au 0.5000 0.5000 0.0000


A relaxed structure of PaBi2Au, computed with GGA-PBE.

Results
**E_tot**: -20.171 eV/f.u.
**Spin magnetization**: 0.0 μB/cell

a = 11.1787 Å, b = 11.1787 Å, c = 11.1787 Å
α = 17.46°, β = 17.46°, γ = 17.46°
Positions (direct):
1 Pa 0.0000 0.0000 0.0000
2 Bi 0.4158 0.4158 0.4158
3 Bi 0.5842 0.5842 0.5842
4 Au 0.5000 0.5000 0.5000


A relaxed structure of PaBi8Au2, computed with GGA-PBE.

Results
**E_tot**: -46.017 eV/f.u.
**Spin magnetization**: 0.0 μB/cell

a = 8.3831 Å, b = 8.3831 Å, c = 5.7892 Å
α = 96.22°, β = 96.22°, γ = 64.81°
Positions (direct):
1 Pa 0.0000 0.0000 0.0000
2 Bi 0.1072 0.1072 0.5479
3 Bi 0.1599 0.5796 0.9775
4 Bi 0.3925 0.3925 0.5422
5 Bi 0.4204 0.8401 0.0225
6 Bi 0.5796 0.1599 0.9775
7 Bi 0.6075 0.6075 0.4578
8 Bi 0.8401 0.4204 0.0225
9 Bi 0.8928 0.8928 0.4521
10 Au 0.2292 0.2292 0.1547
11 Au 0.7708 0.7708 0.8453


A relaxed structure of Pa4Bi8Au3, computed with GGA-PBE.

Results
**E_tot**: -82.220 eV/f.u.
**Spin magnetization**: 1.4 μB/cell

a = 4.6235 Å, b = 4.6235 Å, c = 19.1944 Å
α = 90.00°, β = 90.00°, γ = 90.00°
Positions (direct):
1 Pa 0.0000 0.5000 0.1140
2 Pa 0.0000 0.5000 0.6149
3 Pa 0.5000 0.0000 0.3851
4 Pa 0.5000 0.0000 0.8860
5 Bi 0.0000 0.0000 0.2457
6 Bi 0.0000 0.0000 0.7543
7 Bi 0.0000 0.5000 0.3935
8 Bi 0.0000 0.5000 0.9091
9 Bi 0.5000 0.0000 0.0909
10 Bi 0.5000 0.0000 0.6065
11 Bi 0.5000 0.5000 0.2468
12 Bi 0.5000 0.5000 0.7532
13 Au 0.0000 0.0000 0.0000
14 Au 0.0000 0.0000 0.5000
15 Au 0.5000 0.5000 0.5000


A relaxed structure of Pa2BiAu, computed with GGA-PBE.

Results
**E_tot**: -26.522 eV/f.u.
**Distance to the lowest polymorph of the same formula**: 0.014 eV/atom
**Spin magnetization**: 1.5 μB/cell

a = 4.6710 Å, b = 4.6710 Å, c = 4.5770 Å
α = 90.00°, β = 90.00°, γ = 90.00°
Positions (direct):
1 Pa 0.0000 0.5000 0.0000
2 Pa 0.5000 0.0000 0.0000
3 Bi 0.0000 0.0000 0.5000
4 Au 0.5000 0.5000 0.5000


A relaxed structure of Pa2BiAu, computed with GGA-PBE.

Results
**E_tot**: -26.337 eV/f.u.
**Distance to the lowest polymorph of the same formula**: 0.060 eV/atom
**Spin magnetization**: 0.0 μB/cell

a = 7.5778 Å, b = 7.5778 Å, c = 7.5778 Å
α = 33.18°, β = 33.18°, γ = 33.18°
Positions (direct):
1 Pa 0.2373 0.2373 0.2373
2 Pa 0.7627 0.7627 0.7627
3 Bi 0.0000 0.0000 0.0000
4 Au 0.5000 0.5000 0.5000


A relaxed structure of PaBiAu, computed with GGA-PBE.

Results
**E_tot**: -17.074 eV/f.u.
**Spin magnetization**: 0.9 μB/cell

a = 5.7722 Å, b = 5.7722 Å, c = 5.7722 Å
α = 140.71°, β = 140.71°, γ = 56.78°
Positions (direct):
1 Pa 0.0000 0.0000 0.0000
2 Bi 0.3218 0.3218 0.0000
3 Au 0.6535 0.6535 0.0000


A relaxed structure of PaBiAu2, computed with GGA-PBE.

Results
**E_tot**: -20.908 eV/f.u.
**Distance to the lowest polymorph of the same formula**: 0.040 eV/atom
**Spin magnetization**: 1.3 μB/cell

a = 3.4993 Å, b = 3.4993 Å, c = 7.8661 Å
α = 90.00°, β = 90.00°, γ = 90.00°
Positions (direct):
1 Pa 0.0000 0.0000 0.0000
2 Bi 0.0000 0.0000 0.5000
3 Au 0.5000 0.5000 0.2363
4 Au 0.5000 0.5000 0.7637


A relaxed structure of PaBiAu, computed with GGA-PBE.

Results
**E_tot**: -17.280 eV/f.u.
**Spin magnetization**: 1.0 μB/cell

a = 4.7110 Å, b = 4.7110 Å, c = 4.2013 Å
α = 90.00°, β = 90.00°, γ = 120.00°
Positions (direct):
1 Pa 0.0000 0.0000 0.0000
2 Bi 0.3333 0.6667 0.5504
3 Au 0.6667 0.3333 0.2614


A relaxed structure of PaBiAu2, computed with GGA-PBE.

Results
**E_tot**: -20.675 eV/f.u.
**Distance to the lowest polymorph of the same formula**: 0.098 eV/atom
**Spin magnetization**: 0.8 μB/cell

a = 4.5213 Å, b = 4.5213 Å, c = 4.6085 Å
α = 90.00°, β = 90.00°, γ = 90.00°
Positions (direct):
1 Pa 0.0000 0.0000 0.0000
2 Bi 0.5000 0.5000 0.0000
3 Au 0.0000 0.5000 0.5000
4 Au 0.5000 0.0000 0.5000


A relaxed structure of PaBi2Au, computed with GGA-PBE.

Results
**E_tot**: -21.515 eV/f.u.
**Spin magnetization**: 0.0 μB/cell

a = 4.9331 Å, b = 4.9331 Å, c = 4.2149 Å
α = 90.00°, β = 90.00°, γ = 90.00°
Positions (direct):
1 Pa 0.0000 0.0000 0.0000
2 Bi 0.0000 0.5000 0.5000
3 Bi 0.5000 0.0000 0.5000
4 Au 0.5000 0.5000 0.0000


A relaxed structure of PaBiAu, computed with GGA-PBE.

Results
**E_tot**: -17.173 eV/f.u.
**Spin magnetization**: 0.0 μB/cell

a = 4.4157 Å, b = 4.4157 Å, c = 7.8602 Å
α = 90.00°, β = 90.00°, γ = 90.00°
Positions (direct):
1 Pa 0.2500 0.7500 0.0000
2 Pa 0.7500 0.2500 0.0000
3 Bi 0.2500 0.2500 0.3355
4 Bi 0.7500 0.7500 0.6646
5 Au 0.2500 0.2500 0.7221
6 Au 0.7500 0.7500 0.2779